# BC, optimized geometry, DFT PBE-GGA
data_BC
_chemical_formula_sum 'B12 C12'
_space_group_name_H-M_alt 'C 1 2/m 1'
_space_group_IT_number 12
_cell_length_a 13.275
_cell_length_b 2.560
_cell_length_c 4.893
_cell_angle_alpha 90.00
_cell_angle_beta 104.05
_cell_angle_gamma 90.00
loop_
_space_group_symop_operation_xyz
'x,y,z'
'-x,-y,-z'
'-x,y,-z'
'x,-y,z'
'x+1/2,y+1/2,z'
'-x+1/2,-y+1/2,-z'
'-x+1/2,y+1/2,-z'
'x+1/2,-y+1/2,z'
loop_
_atom_site_label
_atom_site_type_symbol
_atom_site_fract_x
_atom_site_fract_y
_atom_site_fract_z
B1 B 0.059 0.000 0.116
B2 B 0.101 0.000 0.776
B3 B 0.224 0.500 0.365
C1 C 0.058 0.500 0.548
C2 C 0.102 0.500 0.299
C3 C 0.228 0.000 0.920
# - Relative energy among the computed polymorphs: 216 meV per atom
# - VASP energy: -7.584 eV per atom

=====

# B7C5, optimized geometry, DFT PBE-GGA
data_B7C5
_chemical_formula_sum 'B14 C10'
_space_group_name_H-M_alt 'C 1 m 1'
_space_group_IT_number 8
_cell_length_a 9.213
_cell_length_b 2.451
_cell_length_c 8.447
_cell_angle_alpha 90.00
_cell_angle_beta 119.34
_cell_angle_gamma 90.00
loop_
_space_group_symop_operation_xyz
'x,y,z'
'x,-y,z'
'x+1/2,y+1/2,z'
'x+1/2,-y+1/2,z'
loop_
_atom_site_label
_atom_site_type_symbol
_atom_site_fract_x
_atom_site_fract_y
_atom_site_fract_z
B1 B 0.000 0.000 0.000
B2 B 0.000 0.000 0.476
B3 B 0.019 0.500 0.644
B4 B 0.197 0.500 0.349
B5 B 0.299 0.500 0.799
B6 B 0.306 0.000 0.651
B7 B 0.459 0.000 0.116
C1 C 0.147 0.500 0.856
C2 C 0.155 0.000 0.964
C3 C 0.164 0.000 0.446
C4 C 0.318 0.000 0.167
C5 C 0.322 0.500 0.274
# - Relative energy among the computed polymorphs: 271 meV per atom
# - VASP energy: -7.303 eV per atom

=====

# B3C2, optimized geometry, DFT PBE-GGA
data_B3C2
_chemical_formula_sum 'B12 C8'
_space_group_name_H-M_alt 'C 1 m 1'
_space_group_IT_number 8
_cell_length_a 9.494
_cell_length_b 2.682
_cell_length_c 6.457
_cell_angle_alpha 90.00
_cell_angle_beta 112.54
_cell_angle_gamma 90.00
loop_
_space_group_symop_operation_xyz
'x,y,z'
'x,-y,z'
'x+1/2,y+1/2,z'
'x+1/2,-y+1/2,z'
loop_
_atom_site_label
_atom_site_type_symbol
_atom_site_fract_x
_atom_site_fract_y
_atom_site_fract_z
B1 B 0.000 0.000 0.000
B2 B 0.017 0.500 0.424
B3 B 0.234 0.000 0.748
B4 B 0.264 0.500 0.137
B5 B 0.286 0.000 0.508
B6 B 0.363 0.500 0.717
C1 C 0.080 0.500 0.047
C2 C 0.105 0.000 0.505
C3 C 0.301 0.500 0.904
C4 C 0.338 0.000 0.302
# - Relative energy among the computed polymorphs: 134 meV per atom
# - VASP energy: -7.351 eV per atom

=====

# BC, optimized geometry, DFT PBE-GGA
data_BC
_chemical_formula_sum 'B2 C2'
_space_group_name_H-M_alt 'P m m a'
_space_group_IT_number 51
_cell_length_a 2.421
_cell_length_b 2.576
_cell_length_c 4.299
_cell_angle_alpha 90.00
_cell_angle_beta 90.00
_cell_angle_gamma 90.00
loop_
_space_group_symop_operation_xyz
'x,y,z'
'-x,-y,-z'
'-x+1/2,-y,z'
'x+1/2,y,-z'
'x+1/2,-y,-z'
'-x+1/2,y,z'
'-x,y,-z'
'x,-y,z'
loop_
_atom_site_label
_atom_site_type_symbol
_atom_site_fract_x
_atom_site_fract_y
_atom_site_fract_z
B1 B 0.250 0.000 0.160
C1 C 0.250 0.500 0.401
# - Relative energy among the computed polymorphs: 168 meV per atom
# - VASP energy: -7.632 eV per atom

=====

# BC, optimized geometry, DFT PBE-GGA
data_BC
_chemical_formula_sum 'B6 C6'
_space_group_name_H-M_alt 'P 1'
_space_group_IT_number 1
_cell_length_a 3.887
_cell_length_b 4.625
_cell_length_c 5.185
_cell_angle_alpha 104.91
_cell_angle_beta 92.99
_cell_angle_gamma 112.60
loop_
_space_group_symop_operation_xyz
'x,y,z'
loop_
_atom_site_label
_atom_site_type_symbol
_atom_site_fract_x
_atom_site_fract_y
_atom_site_fract_z
B1 B 0.000 0.000 0.000
B2 B 0.012 0.376 0.176
B3 B 0.041 0.346 0.548
B4 B 0.306 0.035 0.349
B5 B 0.611 0.332 0.963
B6 B 0.677 0.381 0.360
C1 C 0.019 0.008 0.563
C2 C 0.282 0.993 0.788
C3 C 0.385 0.694 0.712
C4 C 0.390 0.710 0.220
C5 C 0.603 0.684 0.971
C6 C 0.631 0.719 0.477
# - Relative energy among the computed polymorphs: 253 meV per atom
# - VASP energy: -7.547 eV per atom

=====

# B7C5, optimized geometry, DFT PBE-GGA
data_B7C5
_chemical_formula_sum 'B7 C5'
_space_group_name_H-M_alt 'P 3 m 1'
_space_group_IT_number 156
_cell_length_a 2.5944
_cell_length_b 2.5944
_cell_length_c 14.2042
_cell_angle_alpha 90.00
_cell_angle_beta 90.00
_cell_angle_gamma 120.00
loop_
_space_group_symop_operation_xyz
'x,y,z'
'-y,x-y,z'
'-x+y,-x,z'
'-y,-x,z'
'-x+y,y,z'
'x,x-y,z'
loop_
_atom_site_label
_atom_site_type_symbol
_atom_site_fract_x
_atom_site_fract_y
_atom_site_fract_z
B1 B 0.0000 0.0000 0.0000
B2 B 0.0000 0.0000 0.1202
B3 B 0.0000 0.0000 0.6119
B4 B 0.3333 0.6667 0.1953
B5 B 0.3333 0.6667 0.7672
B6 B 0.6667 0.3333 0.4604
B7 B 0.6667 0.3333 0.8415
C1 C 0.0000 0.0000 0.4993
C2 C 0.3333 0.6667 0.3082
C3 C 0.3333 0.6667 0.6591
C4 C 0.6667 0.3333 0.3400
C5 C 0.6667 0.3333 0.9501
# - Relative energy among the computed polymorphs: 311 meV per atom
# - VASP energy: -7.263 eV per atom

=====

# B7C5, optimized geometry, DFT PBE-GGA
data_B7C5
_chemical_formula_sum 'B7 C5'
_space_group_name_H-M_alt 'P 3 m 1'
_space_group_IT_number 156
_cell_length_a 2.7082
_cell_length_b 2.7082
_cell_length_c 16.4781
_cell_angle_alpha 90.00
_cell_angle_beta 90.00
_cell_angle_gamma 120.00
loop_
_space_group_symop_operation_xyz
'x,y,z'
'-y,x-y,z'
'-x+y,-x,z'
'-y,-x,z'
'-x+y,y,z'
'x,x-y,z'
loop_
_atom_site_label
_atom_site_type_symbol
_atom_site_fract_x
_atom_site_fract_y
_atom_site_fract_z
B1 B 0.0000 0.0000 0.0000
B2 B 0.0000 0.0000 0.2344
B3 B 0.0000 0.0000 0.4998
B4 B 0.0000 0.0000 0.7454
B5 B 0.3333 0.6667 0.3364
B6 B 0.3333 0.6667 0.8540
B7 B 0.6667 0.3333 0.3974
C1 C 0.3333 0.6667 0.2412
C2 C 0.3333 0.6667 0.7542
C3 C 0.6667 0.3333 0.4924
C4 C 0.6667 0.3333 0.8946
C5 C 0.6667 0.3333 0.9890
# - Relative energy among the computed polymorphs: 52 meV per atom
# - VASP energy: -7.522 eV per atom

=====

# BC, optimized geometry, DFT PBE-GGA
data_BC
_chemical_formula_sum 'B12 C12'
_space_group_name_H-M_alt 'C 1 m 1'
_space_group_IT_number 8
_cell_length_a 8.061
_cell_length_b 2.629
_cell_length_c 8.113
_cell_angle_alpha 90.00
_cell_angle_beta 115.49
_cell_angle_gamma 90.00
loop_
_space_group_symop_operation_xyz
'x,y,z'
'x,-y,z'
'x+1/2,y+1/2,z'
'x+1/2,-y+1/2,z'
loop_
_atom_site_label
_atom_site_type_symbol
_atom_site_fract_x
_atom_site_fract_y
_atom_site_fract_z
B1 B 0.000 0.000 0.000
B2 B 0.009 0.500 0.784
B3 B 0.053 0.000 0.242
B4 B 0.236 0.000 0.123
B5 B 0.268 0.000 0.649
B6 B 0.337 0.000 0.890
C1 C 0.128 0.000 0.879
C2 C 0.152 0.500 0.555
C3 C 0.158 0.500 0.373
C4 C 0.349 0.500 0.219
C5 C 0.358 0.500 0.414
C6 C 0.450 0.000 0.524
# - Relative energy among the computed polymorphs: 194 meV per atom
# - VASP energy: -7.606 eV per atom

=====

# BC, optimized geometry, DFT PBE-GGA
data_BC
_chemical_formula_sum 'B6 C6'
_space_group_name_H-M_alt 'P 1 m 1'
_space_group_IT_number 6
_cell_length_a 4.166
_cell_length_b 2.601
_cell_length_c 7.563
_cell_angle_alpha 90.00
_cell_angle_beta 90.10
_cell_angle_gamma 90.00
loop_
_space_group_symop_operation_xyz
'x,y,z'
'x,-y,z'
loop_
_atom_site_label
_atom_site_type_symbol
_atom_site_fract_x
_atom_site_fract_y
_atom_site_fract_z
B1 B 0.000 0.000 0.000
B2 B 0.012 0.000 0.296
B3 B 0.176 0.500 0.704
B4 B 0.494 0.500 0.460
B5 B 0.682 0.000 0.156
B6 B 0.755 0.000 0.502
C1 C 0.236 0.500 0.313
C2 C 0.245 0.500 0.986
C3 C 0.450 0.500 0.152
C4 C 0.491 0.500 0.828
C5 C 0.700 0.000 0.834
C6 C 0.966 0.000 0.679
# - Relative energy among the computed polymorphs: 298 meV per atom
# - VASP energy: -7.502 eV per atom

=====

# B7C5, optimized geometry, DFT PBE-GGA
data_B7C5
_chemical_formula_sum 'B14 C10'
_space_group_name_H-M_alt 'C 1 m 1'
_space_group_IT_number 8
_cell_length_a 8.732
_cell_length_b 2.687
_cell_length_c 7.745
_cell_angle_alpha 90.00
_cell_angle_beta 115.85
_cell_angle_gamma 90.00
loop_
_space_group_symop_operation_xyz
'x,y,z'
'x,-y,z'
'x+1/2,y+1/2,z'
'x+1/2,-y+1/2,z'
loop_
_atom_site_label
_atom_site_type_symbol
_atom_site_fract_x
_atom_site_fract_y
_atom_site_fract_z
B1 B 0.000 0.000 0.000
B2 B 0.004 0.500 0.465
B3 B 0.151 0.500 0.359
B4 B 0.159 0.000 0.733
B5 B 0.167 0.500 0.914
B6 B 0.247 0.000 0.149
B7 B 0.362 0.500 0.126
C1 C 0.101 0.000 0.236
C2 C 0.315 0.500 0.575
C3 C 0.323 0.000 0.692
C4 C 0.473 0.000 0.885
C5 C 0.482 0.500 0.546
# - Relative energy among the computed polymorphs: 281 meV per atom
# - VASP energy: -7.293 eV per atom

=====

| no. | ΔH_f (0 K) (eV/f.u.) |
| --- | --- |
| 1 | 0.7 |
| 2 | 5.2 |
| 3 | 1.7 |
| 4 | 0.6 |
| 5 | 0.8 |
| 6 | 5.7 |
| 7 | 2.6 |
| 8 | 0.7 |
| 9 | 0.9 |
| 10 | 5.3 |